DFT (PBEsol) results for CsLiScF2 after structural relaxation.

POSCAR file:
```
CsLiScF2
1.0
4.2241 0.0000 0.0000
0.0000 4.2241 0.0000
0.0000 0.0000 5.1617
Sc Li F Cs
1 1 2 1
direct
0.5000 0.5000 0.5000 Sc
0.0000 0.0000 0.0000 Li
0.0000 0.5000 0.0000 F
0.5000 0.0000 0.0000 F
0.0000 0.0000 0.5000 Cs
```

Values from the calculation:
Volume, Å³/cell: 92
Calculated total energy, eV/atom: -3.575
Formation energy from raw total energies, kJ/mol of formula units: -434.7
DOS(E_F), states/eV/atom: 0.75
Space group: No. 123

DFT (PBEsol) results for BaVAs2O8 after structural relaxation.

POSCAR file:
```
BaVAs2O8
1.0
6.7102 -0.0335 0.0000
-3.2321 6.9326 0.0000
0.0000 0.0000 14.7132
O V Ba As
32 4 4 8
direct
0.1963 0.4616 0.3001 O
0.4152 0.3812 0.6103 O
0.9152 0.3812 0.8897 O
0.9090 0.8730 0.1238 O
0.4245 0.6509 0.0103 O
0.6387 0.8438 0.5449 O
0.5402 0.7479 0.2140 O
0.9428 0.9877 0.4036 O
0.3613 0.1562 0.4551 O
0.4598 0.2521 0.7860 O
0.5755 0.3491 0.9897 O
0.0755 0.3491 0.5103 O
0.9598 0.2521 0.7140 O
0.0402 0.7479 0.2860 O
0.1387 0.8438 0.9551 O
0.3217 0.1395 0.2701 O
0.3037 0.5384 0.8001 O
0.4428 0.9877 0.0964 O
0.8217 0.1395 0.2299 O
0.0910 0.1270 0.8762 O
0.5572 0.0123 0.9036 O
0.5910 0.1270 0.6238 O
0.0848 0.6188 0.1103 O
0.6783 0.8605 0.7299 O
0.8037 0.5384 0.6999 O
0.1783 0.8605 0.7701 O
0.5848 0.6188 0.3897 O
0.9245 0.6509 0.4897 O
0.8613 0.1562 0.0449 O
0.4090 0.8730 0.3762 O
0.0572 0.0123 0.5964 O
0.6963 0.4616 0.1999 O
0.7885 0.0134 0.6492 V
0.2115 0.9866 0.3508 V
0.2885 0.0134 0.8508 V
0.7115 0.9866 0.1492 V
0.2893 0.3317 0.1254 Ba
0.2107 0.6683 0.6254 Ba
0.7107 0.6683 0.8746 Ba
0.7893 0.3317 0.3746 Ba
0.7143 0.2169 0.9657 As
0.4070 0.6769 0.3163 As
0.7857 0.7831 0.4657 As
0.2857 0.7831 0.0343 As
0.0930 0.3231 0.8163 As
0.5930 0.3231 0.6837 As
0.2143 0.2169 0.5343 As
0.9070 0.6769 0.1837 As
```

Values from the calculation:
Volume, Å³/cell: 683
Calculated total energy, eV/atom: -7.195
Formation energy from raw total energies, kJ/mol of formula units: -2155.9
Space group: No. 14